(1)
Compound: CdHg3Ru
Source: Alexandria via LeMat-Bulk
Functional: PBE-GGA
Structure: optimized geometry

Output
The formation energy is 53.22 kJ per mole of atoms. Its symmetry is Pm-3m (221). Its total DFT energy (no corrections) is -8.34 eV per cell. The value obtained for the energy relative to the lowest polymorph listed for this composition is 0 meV per atom.

a = 5.288 Å, b = 5.288 Å, c = 5.288 Å
α = 90.00°, β = 90.00°, γ = 90.00°
Atoms (fractional coordinates):
Cd1 0.000 0.000 0.000
Hg1 0.000 0.500 0.500
Hg2 0.500 0.000 0.500
Hg3 0.500 0.500 0.000
Ru1 0.500 0.500 0.500



(2)
Compound: CdHgRu3
Source: Alexandria via LeMat-Bulk
Functional: PBE-GGA
Structure: optimized geometry

Output
The formation energy is 202.96 kJ per mole of atoms. Its symmetry is Pm-3m (221). Its total DFT energy (no corrections) is -18.53 eV per cell. The value obtained for the energy relative to the lowest polymorph listed for this composition is 0 meV per atom.

a = 4.916 Å, b = 4.916 Å, c = 4.916 Å
α = 90.00°, β = 90.00°, γ = 90.00°
Atoms (fractional coordinates):
Cd1 0.000 0.000 0.000
Hg1 0.500 0.500 0.500
Ru1 0.000 0.000 0.500
Ru2 0.000 0.500 0.000
Ru3 0.500 0.000 0.000



(3)
Compound: Cd2HgRu2
Source: Alexandria via LeMat-Bulk
Functional: PBE-GGA
Structure: optimized geometry

Output
The formation energy is 36.34 kJ per mole of atoms. Its symmetry is P4/mbm (127). Its total DFT energy (no corrections) is -37.60 eV per cell.

a = 6.843 Å, b = 6.843 Å, c = 4.131 Å
α = 90.00°, β = 90.00°, γ = 90.00°
Atoms (fractional coordinates):
Cd1 0.173 0.327 0.000
Cd2 0.327 0.827 0.000
Cd3 0.673 0.173 0.000
Cd4 0.827 0.673 0.000
Hg1 0.000 0.000 0.500
Hg2 0.500 0.500 0.500
Ru1 0.122 0.622 0.500
Ru2 0.378 0.122 0.500
Ru3 0.622 0.878 0.500
Ru4 0.878 0.378 0.500



(4)
Compound: CdHgRu4
Source: Alexandria via LeMat-Bulk
Functional: PBE-GGA
Structure: optimized geometry

Output
The formation energy is 57.28 kJ per mole of atoms. Its symmetry is F-43m (216). Its total DFT energy (no corrections) is -34.76 eV per cell.

a = 5.229 Å, b = 5.229 Å, c = 5.229 Å
α = 60.00°, β = 60.00°, γ = 60.00°
Atoms (fractional coordinates):
Cd1 0.000 0.000 0.000
Hg1 0.750 0.750 0.750
Ru1 0.375 0.375 0.375
Ru2 0.375 0.375 0.875
Ru3 0.375 0.875 0.375
Ru4 0.875 0.375 0.375



(5)
Compound: CdHgRuS2
Source: Alexandria via LeMat-Bulk
Functional: PBE-GGA
Structure: optimized geometry

Output
Its symmetry is P4/mmm (123). For the uncorrected formation energy, the calculation gives 1.1920 eV per atom. Its total DFT energy (no corrections) is -12.79 eV per cell.

a = 4.958 Å, b = 4.958 Å, c = 5.406 Å
α = 90.00°, β = 90.00°, γ = 90.00°
Atoms (fractional coordinates):
Cd1 0.000 0.000 0.000
Hg1 0.000 0.000 0.500
Ru1 0.500 0.500 0.500
S1 0.000 0.500 0.000
S2 0.500 0.000 0.000



(6)
Compound: ScCdHgRu2
Source: Alexandria via LeMat-Bulk
Functional: PBE-GGA
Structure: optimized geometry

Output
The formation energy is 137.10 kJ per mole of atoms. Its symmetry is P4/mmm (123). Its total DFT energy (no corrections) is -19.00 eV per cell.

a = 4.905 Å, b = 4.905 Å, c = 5.034 Å
α = 90.00°, β = 90.00°, γ = 90.00°
Atoms (fractional coordinates):
Sc1 0.000 0.000 0.000
Cd1 0.000 0.000 0.500
Hg1 0.500 0.500 0.000
Ru1 0.000 0.500 0.500
Ru2 0.500 0.000 0.500



(7)
Compound: Sm4CdHg2Ru
Source: Alexandria via LeMat-Bulk
Functional: PBE-GGA
Structure: optimized geometry

Output
The formation energy is -37.56 kJ per mole of atoms. Its symmetry is R-3m (166). Its total DFT energy (no corrections) is -32.79 eV per cell.

a = 9.044 Å, b = 9.044 Å, c = 9.044 Å
α = 33.96°, β = 33.96°, γ = 33.96°
Atoms (fractional coordinates):
Sm1 0.112 0.112 0.112
Sm2 0.367 0.367 0.367
Sm3 0.633 0.633 0.633
Sm4 0.888 0.888 0.888
Cd1 0.500 0.500 0.500
Hg1 0.239 0.239 0.239
Hg2 0.761 0.761 0.761
Ru1 0.000 0.000 0.000



(8)
Compound: Tb4CdHg2Ru
Source: Alexandria via LeMat-Bulk
Functional: PBE-GGA
Structure: optimized geometry

Output
The formation energy is -40.98 kJ per mole of atoms. Its symmetry is R-3m (166). Its total DFT energy (no corrections) is -32.71 eV per cell.

a = 8.907 Å, b = 8.907 Å, c = 8.907 Å
α = 33.92°, β = 33.92°, γ = 33.92°
Atoms (fractional coordinates):
Tb1 0.113 0.113 0.113
Tb2 0.367 0.367 0.367
Tb3 0.633 0.633 0.633
Tb4 0.887 0.887 0.887
Cd1 0.500 0.500 0.500
Hg1 0.240 0.240 0.240
Hg2 0.760 0.760 0.760
Ru1 0.000 0.000 0.000



(9)
Compound: Th2CdHgRu
Source: Alexandria via LeMat-Bulk
Functional: PBE-GGA
Structure: optimized geometry

Output
The formation energy is -28.71 kJ per mole of atoms. Its symmetry is P2_1/m (11). Its total DFT energy (no corrections) is -53.64 eV per cell.

a = 8.352 Å, b = 4.026 Å, c = 8.357 Å
α = 90.00°, β = 111.38°, γ = 90.00°
Atoms (fractional coordinates):
Th1 0.003 0.250 0.227
Th2 0.351 0.750 0.609
Th3 0.649 0.250 0.391
Th4 0.997 0.750 0.773
Cd1 0.304 0.750 0.195
Cd2 0.696 0.250 0.805
Hg1 0.351 0.250 0.955
Hg2 0.649 0.750 0.045
Ru1 0.121 0.250 0.613
Ru2 0.879 0.750 0.387



(10)
Compound: Ti2CdHgRu
Source: Alexandria via LeMat-Bulk
Functional: PBE-GGA
Structure: optimized geometry

Output
The formation energy is 160.27 kJ per mole of atoms. Its symmetry is P4/mmm (123). Its total DFT energy (no corrections) is -17.98 eV per cell.

a = 4.954 Å, b = 4.954 Å, c = 4.936 Å
α = 90.00°, β = 90.00°, γ = 90.00°
Atoms (fractional coordinates):
Ti1 0.000 0.500 0.000
Ti2 0.500 0.000 0.000
Cd1 0.000 0.000 0.000
Hg1 0.000 0.000 0.500
Ru1 0.500 0.500 0.500



(11)
Compound: VCd2HgRu
Source: Alexandria via LeMat-Bulk
Functional: PBE-GGA
Structure: optimized geometry

Output
The formation energy is 169.06 kJ per mole of atoms. Its symmetry is P4/mmm (123). Its total DFT energy (no corrections) is -11.77 eV per cell.

a = 5.061 Å, b = 5.061 Å, c = 4.961 Å
α = 90.00°, β = 90.00°, γ = 90.00°
Atoms (fractional coordinates):
V1 0.000 0.000 0.000
Cd1 0.000 0.500 0.500
Cd2 0.500 0.000 0.500
Hg1 0.000 0.000 0.500
Ru1 0.500 0.500 0.000



(12)
Compound: Y2CdHgRu
Source: Alexandria via LeMat-Bulk
Functional: PBE-GGA
Structure: optimized geometry

Output
The formation energy is 66.24 kJ per mole of atoms. Its symmetry is P4/mmm (123). Its total DFT energy (no corrections) is -19.99 eV per cell.

a = 5.548 Å, b = 5.548 Å, c = 4.973 Å
α = 90.00°, β = 90.00°, γ = 90.00°
Atoms (fractional coordinates):
Y1 0.000 0.500 0.000
Y2 0.500 0.000 0.000
Cd1 0.000 0.000 0.500
Hg1 0.500 0.500 0.000
Ru1 0.500 0.500 0.500



- Number 5 is which compound?
  CdHgRuS2



- What is the formula in the eleventh record?
  VCd2HgRu



- Among the records above, which one has the lowest total DFT energy (no corrections)?
  Th2CdHgRu